Entry 1:
Computed, not measured: crystalline DyY6Sc3 at its relaxed geometry at the PBE level of DFT.

Cell lengths 6.266, 11.224, 11.224 Å; angles 130.28, 90.00, 90.00 degrees
Fractional coordinates of all 20 atoms:
Sc: 0.485 0.960 0.706
Sc: 0.985 0.706 0.960
Sc: 0.603 0.584 0.416
Sc: 0.485 0.294 0.040
Sc: 0.103 0.416 0.584
Sc: 0.985 0.040 0.294
Y: 0.790 0.302 0.698
Y: 0.824 0.540 0.104
Y: 0.824 0.896 0.460
Y: 0.324 0.460 0.896
Y: 0.292 0.985 0.015
Y: 0.290 0.698 0.302
Y: 0.324 0.104 0.540
Y: 0.582 0.623 0.736
Y: 0.582 0.264 0.377
Y: 0.082 0.736 0.623
Y: 0.082 0.377 0.264
Y: 0.792 0.015 0.985
Dy: 0.516 0.842 0.158
Dy: 0.016 0.158 0.842

Output
- Uncorrected energy: -6.112 eV per atom
- Fermi-level density of states: 30.63 states/eV/cell
- Magnetic moment: 0.00 μB/f.u.


Entry 2:
Computed, not measured: crystalline DyMgPd2 at its relaxed geometry at the PBE level of DFT.

Cell lengths 3.325, 4.790, 4.790 Å; angles 90.00, 90.00, 90.00 degrees
Fractional coordinates of all 4 atoms:
Pd: 0.000 0.500 0.000
Pd: 0.000 0.000 0.500
Dy: 0.500 0.500 0.500
Mg: 0.500 0.000 0.000

Output
- Uncorrected energy: -4.917 eV per atom
- Fermi-level density of states: 1.82 states/eV/cell
- Magnetic moment: 0.00 μB/f.u.


Entry 3:
Computed, not measured: crystalline Cs2HfRuBr6 at its relaxed geometry at the PBE level of DFT.

Cell lengths 7.710, 7.710, 7.702 Å; angles 59.96, 59.96, 90.00 degrees
Site moments in Bohr magnetons follow the coordinates.
Fractional coordinates of all 10 atoms:
Cs: 0.750 0.250 0.500  0.00
Cs: 0.250 0.750 0.500  0.00
Ru: 0.500 0.500 0.000  1.85
Br: 0.756 0.244 0.000  0.02
Br: 0.244 0.244 0.511  0.02
Br: 0.244 0.756 0.000  0.02
Br: 0.756 0.756 0.000  0.02
Br: 0.244 0.244 0.000  0.02
Br: 0.756 0.756 0.489  0.02
Hf: 0.000 0.000 0.000  -0.02

Output
- Uncorrected energy: -4.097 eV per atom
- Fermi-level density of states: 0.00 states/eV/cell
- Formation energy without anion corrections: -999 meV/atom
- Magnetic moment: 2.00 μB/f.u.


Entry 4:
Computed, not measured: crystalline TaCdP at its relaxed geometry at the PBE level of DFT.

Cell lengths 9.180, 3.173, 8.881 Å; angles 90.00, 93.93, 90.00 degrees
Fractional coordinates of all 12 atoms:
P: 0.872 0.000 0.075
P: 0.128 0.500 0.425
P: 0.872 0.500 0.575
P: 0.128 0.000 0.925
Cd: 0.366 0.000 0.220
Cd: 0.634 0.500 0.280
Cd: 0.366 0.500 0.720
Cd: 0.634 0.000 0.780
Ta: 0.091 0.500 0.145
Ta: 0.909 0.500 0.855
Ta: 0.091 0.000 0.645
Ta: 0.909 0.000 0.355

Output
- Uncorrected energy: -6.322 eV per atom
- Fermi-level density of states: 4.82 states/eV/cell
- Magnetic moment: 0.00 μB/f.u.


Entry 5:
Computed, not measured: crystalline YErCuAg at its relaxed geometry at the PBE level of DFT.

Cell lengths 5.024, 5.024, 5.024 Å; angles 60.00, 60.00, 60.00 degrees
Fractional coordinates of all 4 atoms:
Er: 0.250 0.250 0.250
Cu: 0.000 0.000 0.000
Y: 0.750 0.750 0.750
Ag: 0.500 0.500 0.500

Output
- Uncorrected energy: -4.767 eV per atom
- Fermi-level density of states: 2.40 states/eV/cell
- Magnetic moment: 0.00 μB/f.u.


Entry 6:
Computed, not measured: crystalline BeInSn2Au at its relaxed geometry at the PBE level of DFT.

Cell lengths 5.074, 4.548, 5.074 Å; angles 90.00, 90.00, 90.00 degrees
Fractional coordinates of all 5 atoms:
Sn: 0.000 0.000 0.500
Sn: 0.500 0.000 0.000
Au: 0.000 0.500 0.000
Be: 0.000 0.000 0.000
In: 0.500 0.500 0.500

Output
- Uncorrected energy: -3.337 eV per atom
- Fermi-level density of states: 2.16 states/eV/cell
- Magnetic moment: 0.00 μB/f.u.


Entry 7:
Computed, not measured: crystalline BaRh2Cl at its relaxed geometry at the PBE level of DFT.

Cell lengths 6.731, 6.731, 6.731 Å; angles 145.28, 145.28, 49.92 degrees
Site moments in Bohr magnetons follow the coordinates.
Fractional coordinates of all 4 atoms:
Rh: 0.000 0.000 0.000  1.09
Rh: 0.500 0.500 0.000  1.09
Cl: 0.750 0.250 0.500  0.01
Ba: 0.250 0.750 0.500  -0.02

Output
- Uncorrected energy: -4.673 eV per atom
- Fermi-level density of states: 3.71 states/eV/cell
- Formation energy without anion corrections: -55 meV/atom
- Magnetic moment: 2.20 μB/f.u.


Entry 8:
Computed, not measured: crystalline AlSb2TeW at its relaxed geometry at the PBE level of DFT.

Cell lengths 5.253, 5.253, 5.450 Å; angles 90.00, 90.00, 90.00 degrees
Fractional coordinates of all 5 atoms:
Te: 0.000 0.000 0.500
Sb: 0.500 0.000 0.000
Sb: 0.000 0.500 0.000
Al: 0.500 0.500 0.500
W: 0.000 0.000 0.000

Output
- Uncorrected energy: -4.863 eV per atom
- Fermi-level density of states: 4.60 states/eV/cell
- Formation energy without anion corrections: 753 meV/atom
- Magnetic moment: 0.00 μB/f.u.


Entry 9:
Computed, not measured: crystalline Hf2Co5Si4 at its relaxed geometry at the PBE level of DFT.

Cell lengths 5.086, 5.038, 7.135 Å; angles 79.63, 69.12, 59.68 degrees
Fractional coordinates of all 11 atoms:
Co: 0.500 0.500 0.000
Co: 0.000 0.500 0.000
Co: 0.750 0.500 0.500
Co: 0.500 0.000 0.000
Co: 0.250 0.500 0.500
Si: 0.483 0.301 0.734
Si: 0.217 0.301 0.266
Si: 0.783 0.699 0.734
Si: 0.517 0.699 0.266
Hf: 0.869 0.000 0.263
Hf: 0.131 0.000 0.737

Output
- Uncorrected energy: -7.616 eV per atom
- Fermi-level density of states: 7.42 states/eV/cell
- Formation energy without anion corrections: -604 meV/atom
- Magnetic moment: 0.00 μB/f.u.


Entry 10:
Computed, not measured: crystalline KRe2F at its relaxed geometry at the PBE level of DFT.

Cell lengths 4.816, 4.816, 4.816 Å; angles 60.00, 60.00, 60.00 degrees
Site moments in Bohr magnetons follow the coordinates.
Fractional coordinates of all 4 atoms:
F: 0.000 0.000 0.000  0.18
K: 0.500 0.500 0.500  0.12
Re: 0.250 0.250 0.250  2.62
Re: 0.750 0.750 0.750  2.62

Output
- Uncorrected energy: -4.521 eV per atom
- Fermi-level density of states: 3.63 states/eV/cell
- Formation energy without anion corrections: 2446 meV/atom
- Magnetic moment: 6.54 μB/f.u.


Entry 11:
Computed, not measured: crystalline LiScCu5 at its relaxed geometry at the PBE level of DFT.

Cell lengths 4.942, 7.900, 10.082 Å; angles 90.00, 90.00, 90.00 degrees
Fractional coordinates of all 28 atoms:
Cu: 0.507 0.931 0.310
Cu: 0.007 0.569 0.810
Cu: 0.493 0.069 0.690
Cu: 0.250 0.596 0.018
Cu: 0.750 0.561 0.591
Cu: 0.250 0.439 0.409
Cu: 0.750 0.904 0.518
Cu: 0.750 0.404 0.982
Cu: 0.250 0.939 0.091
Cu: 0.007 0.069 0.690
Cu: 0.250 0.184 0.248
Cu: 0.493 0.569 0.810
Cu: 0.750 0.061 0.909
Cu: 0.993 0.931 0.310
Cu: 0.507 0.431 0.190
Cu: 0.993 0.431 0.190
Cu: 0.250 0.684 0.252
Cu: 0.750 0.316 0.748
Cu: 0.750 0.816 0.752
Cu: 0.250 0.096 0.482
Sc: 0.250 0.748 0.561
Sc: 0.750 0.752 0.061
Sc: 0.750 0.252 0.439
Sc: 0.250 0.248 0.939
Li: 0.250 0.363 0.643
Li: 0.250 0.863 0.857
Li: 0.750 0.637 0.357
Li: 0.750 0.137 0.143

Output
- Uncorrected energy: -4.212 eV per atom
- Fermi-level density of states: 14.31 states/eV/cell
- Magnetic moment: 0.00 μB/f.u.


Entry 12:
Computed, not measured: crystalline NiW2Au at its relaxed geometry at the PBE level of DFT.

Cell lengths 2.716, 3.934, 5.735 Å; angles 90.00, 90.00, 90.00 degrees
Fractional coordinates of all 4 atoms:
Au: 0.000 0.000 0.513
W: 0.000 0.000 0.985
W: 0.500 0.500 0.241
Ni: 0.500 0.500 0.761

Output
- Uncorrected energy: -8.499 eV per atom
- Fermi-level density of states: 2.89 states/eV/cell
- Magnetic moment: 0.00 μB/f.u.


Entry 13:
Computed, not measured: crystalline Li3BRu at its relaxed geometry at the PBE level of DFT.

Cell lengths 4.577, 4.577, 4.577 Å; angles 90.00, 90.00, 90.00 degrees
Site moments in Bohr magnetons follow the coordinates.
Fractional coordinates of all 5 atoms:
Ru: 0.000 0.000 0.000  0.70
Li: 0.500 0.000 0.000  -0.01
Li: 0.000 0.500 0.000  0.00
Li: 0.000 0.000 0.500  0.00
B: 0.500 0.500 0.500  -0.12

Output
- Uncorrected energy: -2.723 eV per atom
- Fermi-level density of states: 3.50 states/eV/cell
- Magnetic moment: 0.38 μB/f.u.


Entry 14:
Computed, not measured: crystalline TbTmSc5 at its relaxed geometry at the PBE level of DFT.

Cell lengths 5.068, 5.068, 7.655 Å; angles 90.00, 90.00, 90.00 degrees
Fractional coordinates of all 7 atoms:
Tb: 0.000 0.000 0.500
Sc: 0.000 0.500 0.226
Sc: 0.500 0.000 0.226
Sc: 0.500 0.000 0.774
Sc: 0.000 0.500 0.774
Sc: 0.500 0.500 0.500
Tm: 0.500 0.500 0.000

Output
- Uncorrected energy: -5.457 eV per atom
- Fermi-level density of states: 11.20 states/eV/cell
- Magnetic moment: 0.00 μB/f.u.


Entry 15:
Computed, not measured: crystalline Cs4KRb8 at its relaxed geometry at the PBE level of DFT.

Cell lengths 8.369, 5.268, 28.939 Å; angles 90.00, 90.00, 90.00 degrees
Fractional coordinates of all 13 atoms:
Rb: 0.000 0.000 0.775
Rb: 0.000 0.000 0.480
Rb: 0.500 0.500 0.080
Rb: 0.500 0.000 0.573
Rb: 0.000 0.500 0.909
Rb: 0.500 0.500 0.740
Rb: 0.000 0.500 0.196
Rb: 0.500 0.000 0.233
K: 0.000 0.000 0.328
Cs: 0.500 0.500 0.400
Cs: 0.000 0.000 0.051
Cs: 0.000 0.500 0.628
Cs: 0.500 0.000 0.911

Output
- Uncorrected energy: -0.926 eV per atom
- Fermi-level density of states: 12.34 states/eV/cell
- Magnetic moment: 0.00 μB/f.u.


Entry 16:
Computed, not measured: crystalline Pr2InGe4Au3 at its relaxed geometry at the PBE level of DFT.

Cell lengths 4.447, 4.447, 11.127 Å; angles 90.00, 90.00, 90.00 degrees
Fractional coordinates of all 10 atoms:
Pr: 0.500 0.000 0.246
Pr: 0.000 0.500 0.754
Au: 0.000 0.500 0.130
Au: 0.500 0.000 0.870
Au: 0.000 0.000 0.500
In: 0.500 0.500 0.500
Ge: 0.000 0.000 0.000
Ge: 0.500 0.000 0.646
Ge: 0.500 0.500 0.000
Ge: 0.000 0.500 0.354

Output
- Uncorrected energy: -4.529 eV per atom
- Fermi-level density of states: 2.63 states/eV/cell
- Magnetic moment: 0.00 μB/f.u.


Entry 17:
Computed, not measured: crystalline LaMgGa at its relaxed geometry at the PBE level of DFT.

Cell lengths 4.859, 8.509, 7.091 Å; angles 50.31, 109.97, 73.39 degrees
Fractional coordinates of all 6 atoms:
La: 0.999 0.810 0.025
La: 0.314 0.809 0.657
Ga: 0.656 0.810 0.341
Ga: 0.656 0.310 0.841
Mg: 0.023 0.310 0.575
Mg: 0.289 0.309 0.107

Output
- Uncorrected energy: -3.480 eV per atom
- Fermi-level density of states: 3.59 states/eV/cell
- Magnetic moment: 0.00 μB/f.u.


Entry 18:
Computed, not measured: crystalline La2NdSm7Tl2 at its relaxed geometry at the PBE level of DFT.

Cell lengths 6.194, 6.194, 15.233 Å; angles 56.48, 56.48, 68.96 degrees
Fractional coordinates of all 12 atoms:
La: 0.852 0.852 0.648
La: 0.148 0.148 0.352
Sm: 0.830 0.330 0.170
Sm: 0.313 0.313 0.500
Sm: 0.330 0.830 0.170
Sm: 0.500 0.500 0.000
Sm: 0.687 0.687 0.500
Sm: 0.670 0.170 0.830
Sm: 0.170 0.670 0.830
Tl: 0.277 0.277 0.723
Tl: 0.723 0.723 0.277
Nd: 0.000 0.000 0.000

Output
- Uncorrected energy: -4.391 eV per atom
- Fermi-level density of states: 23.31 states/eV/cell
- Magnetic moment: 0.00 μB/f.u.


Entry 19:
Computed, not measured: crystalline KRbMgPb at its relaxed geometry at the PBE level of DFT.

Cell lengths 5.841, 5.841, 5.841 Å; angles 60.00, 60.00, 60.00 degrees
Fractional coordinates of all 4 atoms:
Mg: 0.500 0.500 0.500
K: 0.000 0.000 0.000
Rb: 0.750 0.750 0.750
Pb: 0.250 0.250 0.250

Output
- Uncorrected energy: -1.850 eV per atom
- Fermi-level density of states: 0.30 states/eV/cell
- Magnetic moment: 0.00 μB/f.u.


Entry 20:
Computed, not measured: crystalline Zn3Os at its relaxed geometry at the PBE level of DFT.

Cell lengths 5.262, 4.331, 4.931 Å; angles 90.00, 90.00, 90.00 degrees
Fractional coordinates of all 8 atoms:
Os: 0.000 0.000 0.653
Os: 0.500 0.500 0.347
Zn: 0.749 0.500 0.846
Zn: 0.000 0.500 0.346
Zn: 0.251 0.500 0.846
Zn: 0.751 0.000 0.154
Zn: 0.249 0.000 0.154
Zn: 0.500 0.000 0.654

Output
- Uncorrected energy: -3.659 eV per atom
- Fermi-level density of states: 1.65 states/eV/cell
- Magnetic moment: 0.00 μB/f.u.


Entry 21:
Computed, not measured: crystalline LaSi3Sb at its relaxed geometry at the PBE level of DFT.

Cell lengths 5.133, 5.133, 5.133 Å; angles 90.00, 90.00, 90.00 degrees
Fractional coordinates of all 5 atoms:
Si: 0.500 0.000 0.000
Si: 0.000 0.500 0.000
Si: 0.000 0.000 0.500
La: 0.500 0.500 0.500
Sb: 0.000 0.000 0.000

Output
- Uncorrected energy: -4.412 eV per atom
- Fermi-level density of states: 4.82 states/eV/cell
- Formation energy without anion corrections: 652 meV/atom
- Magnetic moment: 0.00 μB/f.u.


Entry 22:
Computed, not measured: crystalline Hg2PtW at its relaxed geometry at the PBE level of DFT.

Cell lengths 2.914, 2.943, 8.983 Å; angles 80.78, 90.00, 90.00 degrees
Fractional coordinates of all 4 atoms:
Hg: 0.000 0.206 0.970
Hg: 0.500 0.049 0.275
W: 0.500 0.825 0.725
Pt: 0.000 0.420 0.529

Output
- Uncorrected energy: -4.693 eV per atom
- Fermi-level density of states: 1.40 states/eV/cell
- Magnetic moment: 0.00 μB/f.u.


Entry 23:
Computed, not measured: crystalline Mg2CrPb at its relaxed geometry at the PBE level of DFT.

Cell lengths 5.292, 5.292, 5.355 Å; angles 80.44, 80.44, 37.09 degrees
Site moments in Bohr magnetons follow the coordinates.
Fractional coordinates of all 4 atoms:
Mg: 0.749 0.749 0.763  -0.02
Mg: 0.994 0.994 0.010  -0.01
Cr: 0.251 0.251 0.239  3.67
Pb: 0.506 0.506 0.489  -0.02

Output
- Uncorrected energy: -3.857 eV per atom
- Fermi-level density of states: 2.44 states/eV/cell
- Magnetic moment: 4.04 μB/f.u.


Entry 24:
Computed, not measured: crystalline TbPm8Ho5 at its relaxed geometry at the PBE level of DFT.

Cell lengths 8.536, 8.536, 8.536 Å; angles 111.18, 106.11, 111.18 degrees
Fractional coordinates of all 14 atoms:
Tb: 0.250 0.500 0.750
Pm: 0.165 0.734 0.075
Pm: 0.730 0.258 0.334
Pm: 0.666 0.396 0.923
Pm: 0.342 0.266 0.431
Pm: 0.528 0.604 0.270
Pm: 0.925 0.089 0.658
Pm: 0.077 0.742 0.472
Pm: 0.569 0.911 0.835
Ho: 0.817 0.686 0.721
Ho: 0.035 0.314 0.131
Ho: 0.279 0.096 0.965
Ho: 0.869 0.904 0.183
Ho: 0.500 0.000 0.500

Output
- Uncorrected energy: -4.429 eV per atom
- Fermi-level density of states: 20.70 states/eV/cell
- Magnetic moment: 0.00 μB/f.u.